1.
Ti2AsH (PBE, optimized geometry); distance to the lowest polymorph of the same formula = 174 meV/atom; SG = I-42d, No. 122
1.0
-3.445 4.569 1.788
-4.137 -3.880 1.941
-2.527 0.288 4.446
H As Ti
2 2 4
Direct
0.500 0.500 0.000 H
0.250 0.750 0.500 H
0.000 0.000 0.000 As
0.750 0.250 0.500 As
0.532 0.125 0.250 Ti
0.218 0.625 0.250 Ti
0.375 0.468 0.750 Ti
0.875 0.782 0.750 Ti

2.
Ti3AsH3 (PBE, optimized geometry); distance to the lowest polymorph of the same formula = 48 meV/atom; SG = R-3, No. 148
1.0
5.568 0.000 0.000
2.784 4.822 0.000
2.784 1.607 5.834
Ti As H
6 2 6
Direct
0.225 0.585 0.286 Ti
0.905 0.225 0.286 Ti
0.585 0.905 0.286 Ti
0.415 0.095 0.714 Ti
0.095 0.775 0.714 Ti
0.775 0.415 0.714 Ti
0.333 0.333 0.000 As
0.667 0.667 0.000 As
0.471 0.788 0.612 H
0.788 0.129 0.612 H
0.129 0.471 0.612 H
0.871 0.529 0.388 H
0.212 0.871 0.388 H
0.529 0.212 0.388 H

3.
Ti4AsH2 (PBE, optimized geometry); distance to the lowest polymorph of the same formula = 0 meV/atom; SG = I-42d, No. 122
1.0
-2.778 5.479 -1.360
-2.094 -3.875 4.493
5.653 1.747 2.132
Ti As H
8 2 4
Direct
0.952 0.205 0.367 Ti
0.412 0.545 0.247 Ti
0.838 0.585 0.633 Ti
0.795 0.162 0.747 Ti
0.415 0.048 0.253 Ti
0.298 0.165 0.753 Ti
0.455 0.702 0.867 Ti
0.835 0.588 0.133 Ti
0.250 0.750 0.500 As
0.000 0.000 0.000 As
0.678 0.375 0.803 H
0.572 0.875 0.197 H
0.625 0.428 0.303 H
0.125 0.322 0.697 H

4.
Ti4AsH2 (PBE, optimized geometry); distance to the lowest polymorph of the same formula = 628 meV/atom; SG = I4/mmm, No. 139
1.0
4.617 0.000 0.000
0.000 4.617 0.000
2.309 2.309 4.886
H As Ti
2 1 4
Direct
0.435 0.435 0.131 H
0.565 0.565 0.869 H
0.000 0.000 0.000 As
0.254 0.254 0.492 Ti
0.746 0.746 0.508 Ti
0.000 0.500 0.000 Ti
0.500 0.000 0.000 Ti

5.
Ti8AsH6 (PBE, optimized geometry); SG = R-3, No. 148; final energy = -6.2127 eV/atom
1.0
5.510 -0.163 -0.168
-0.334 5.502 -0.168
-0.334 -0.345 5.494
Ti As H
8 1 6
Direct
0.680 0.680 0.680 Ti
0.320 0.320 0.320 Ti
0.587 0.889 0.224 Ti
0.889 0.224 0.587 Ti
0.224 0.587 0.889 Ti
0.413 0.111 0.776 Ti
0.111 0.776 0.413 Ti
0.776 0.413 0.111 Ti
0.000 0.000 0.000 As
0.667 0.361 0.780 H
0.361 0.780 0.667 H
0.780 0.667 0.361 H
0.333 0.639 0.220 H
0.639 0.220 0.333 H
0.220 0.333 0.639 H

6.
TiAsH (PBE, optimized geometry); distance to the lowest polymorph of the same formula = 118 meV/atom; SG = C2/m, No. 12
1.0
3.430 0.023 -0.084
-0.054 6.181 -0.452
-1.604 -2.790 3.748
H As Ti
2 2 2
Direct
0.683 0.804 0.366 H
0.317 0.196 0.634 H
0.937 0.703 0.873 As
0.063 0.297 0.127 As
0.300 0.873 0.600 Ti
0.700 0.127 0.400 Ti

7.
Ti3AsH3 (PBE, optimized geometry); distance to the lowest polymorph of the same formula = 0 meV/atom; SG = Pm-3n, No. 223
1.0
-0.603 -4.687 2.236
5.193 -0.570 0.204
0.061 2.244 4.721
H As Ti
6 2 6
Direct
0.250 0.000 0.500 H
0.000 0.500 0.250 H
0.500 0.750 0.000 H
0.750 0.000 0.500 H
0.000 0.500 0.750 H
0.500 0.250 0.000 H
0.500 0.500 0.500 As
0.000 0.000 0.000 As
0.000 0.250 0.500 Ti
0.000 0.750 0.500 Ti
0.500 0.000 0.750 Ti
0.750 0.500 0.000 Ti
0.500 0.000 0.250 Ti
0.250 0.500 0.000 Ti

8.
TiAsH (PBE, optimized geometry); distance to the lowest polymorph of the same formula = 142 meV/atom; SG = P6_3/mmc, No. 194
1.0
3.367 0.000 0.000
0.000 5.837 0.000
0.000 0.000 7.278
Ti As H
4 4 4
Direct
0.750 0.417 0.250 Ti
0.750 0.083 0.750 Ti
0.250 0.917 0.250 Ti
0.250 0.583 0.750 Ti
0.250 0.250 0.000 As
0.250 0.250 0.500 As
0.750 0.750 0.500 As
0.750 0.750 0.000 As
0.250 0.917 0.750 H
0.250 0.583 0.250 H
0.750 0.417 0.750 H
0.750 0.083 0.250 H

9.
Ti2AsH (PBE, optimized geometry); distance to the lowest polymorph of the same formula = 343 meV/atom; SG = R-3m, No. 166
1.0
-3.172 -0.713 -0.353
-1.060 -1.424 -2.746
-0.504 -5.903 1.309
H As Ti
1 1 2
Direct
0.000 0.000 0.000 H
0.500 0.500 0.500 As
0.268 0.268 0.196 Ti
0.732 0.732 0.804 Ti

10.
Ti3AsH (PBE, optimized geometry); distance to the lowest polymorph of the same formula = 0 meV/atom; SG = Pm-3m, No. 221
1.0
-0.135 1.267 -3.802
0.277 -3.792 -1.273
-3.998 -0.306 0.040
H As Ti
1 1 3
Direct
0.000 0.000 0.000 H
0.500 0.500 0.500 As
0.000 0.500 0.000 Ti
0.000 0.000 0.500 Ti
0.500 0.000 0.000 Ti

11.
Ti3As2H2 (PBE, optimized geometry); SG = P2_1/c, No. 14; final energy = -6.2695 eV/atom
1.0
6.463 0.000 -0.575
0.000 5.900 0.000
2.366 0.000 4.461
Ti As H
6 4 4
Direct
0.500 0.500 0.000 Ti
0.000 0.000 0.000 Ti
0.781 0.191 0.602 Ti
0.719 0.691 0.398 Ti
0.281 0.309 0.602 Ti
0.219 0.809 0.398 Ti
0.913 0.594 0.813 As
0.413 0.906 0.813 As
0.587 0.094 0.187 As
0.087 0.406 0.187 As
0.565 0.412 0.621 H
0.935 0.912 0.379 H
0.065 0.088 0.621 H
0.435 0.588 0.379 H

12.
Ti3AsH (PBE, optimized geometry); distance to the lowest polymorph of the same formula = 197 meV/atom; SG = P-1, No. 2
1.0
3.228 0.003 0.002
-1.606 6.768 0.822
0.002 -1.749 6.718
Ti As H
6 2 2
Direct
0.180 0.359 0.660 Ti
0.647 0.296 0.999 Ti
0.007 0.009 0.207 Ti
0.820 0.641 0.340 Ti
0.993 0.991 0.793 Ti
0.353 0.704 0.001 Ti
0.364 0.731 0.624 As
0.636 0.269 0.376 As
0.212 0.425 0.928 H
0.788 0.575 0.072 H